Na3Mg3ReO8: optimized geometry, PBE-GGA.

Space group: No. 166
Total magnetization, Bohr magnetons per cell: 0.0
D(E_F), states/eV/cell: 0.000
Uncorrected energy, eV per cell: -91.61
Formation energy from raw total energies, eV/atom: -2.0501
Calculated volume, Å³/cell: 182.8

Cell: 6.204 6.204 6.550 Å, 118.28 90.00 120.00°
Sites, in units of the cell vectors:
Na 0.000 0.000 0.000
Na 0.000 0.500 0.000
Na 0.500 0.500 0.000
Mg 0.500 0.000 0.500
Mg 0.500 0.500 0.500
Mg 0.000 0.500 0.500
Re 0.000 0.000 0.500
O 0.271 0.542 0.313
O 0.729 0.458 0.687
O 0.788 0.575 0.305
O 0.212 0.425 0.695
O 0.788 0.017 0.305
O 0.212 0.983 0.695
O 0.230 0.017 0.305
O 0.770 0.983 0.695